The following is a PBE-GGA calculation of a geometry-optimized Cs2InI2Br2 structure, from Alexandria.

Cell and atoms, written as POSCAR:
```
Cs2InI2Br2
1.0
-2.883 2.883 9.729
2.883 -2.883 9.729
2.883 2.883 -9.729
Cs In I Br
2 1 2 2
Direct
0.135 0.135 0.000 Cs
0.865 0.865 0.000 Cs
0.500 0.500 0.000 In
0.338 0.338 0.000 I
0.662 0.662 0.000 I
0.000 0.500 0.500 Br
0.500 0.000 0.500 Br
```

Computed properties:
formation energy without anion corrections: -120.0 kJ per mole of atoms
uncorrected energy: -2.7997 eV per atom


The following is a PBE-GGA calculation of a geometry-optimized CaAc3Sn structure, from Alexandria.

Cell and atoms, written as POSCAR:
```
CaAc3Sn
1.0
11.047 0.000 0.000
0.000 6.593 0.000
-6.428 0.000 11.220
Ca Ac Sn
4 12 4
Direct
0.158 0.002 0.144 Ca
0.158 0.498 0.644 Ca
0.842 0.502 0.356 Ca
0.842 0.998 0.856 Ca
0.154 0.522 0.309 Ac
0.154 0.978 0.809 Ac
0.203 0.017 0.495 Ac
0.203 0.483 0.995 Ac
0.498 0.637 0.654 Ac
0.498 0.863 0.154 Ac
0.502 0.137 0.846 Ac
0.502 0.363 0.346 Ac
0.797 0.517 0.005 Ac
0.797 0.983 0.505 Ac
0.846 0.022 0.191 Ac
0.846 0.478 0.691 Ac
0.438 0.642 0.890 Sn
0.438 0.858 0.390 Sn
0.562 0.142 0.610 Sn
0.562 0.358 0.110 Sn
```

Computed properties:
uncorrected energy: -3.8920 eV per atom
formation enthalpy at 0 K: -0.23 eV/atom


The following is a PBE-GGA calculation of a geometry-optimized Pr2Ni9Sn structure, from Alexandria.

Cell and atoms, written as POSCAR:
```
Pr2Ni9Sn
1.0
2.481 1.433 8.326
-2.481 1.433 8.326
0.000 -2.865 8.326
Pr Ni Sn
2 9 1
Direct
0.135 0.135 0.135 Pr
0.865 0.865 0.865 Pr
0.081 0.580 0.580 Ni
0.333 0.333 0.333 Ni
0.420 0.420 0.919 Ni
0.420 0.919 0.420 Ni
0.500 0.500 0.500 Ni
0.580 0.081 0.580 Ni
0.580 0.580 0.081 Ni
0.667 0.667 0.667 Ni
0.919 0.420 0.420 Ni
0.000 0.000 0.000 Sn
```

Computed properties:
uncorrected energy: -5.6224 eV per atom
formation enthalpy at 0 K: -0.16 eV/atom


The following is a PBE-GGA calculation of a geometry-optimized Mg4HgRh structure, from Alexandria.

Cell and atoms, written as POSCAR:
```
Mg4HgRh
1.0
0.000 3.881 3.881
3.881 0.000 3.881
3.881 3.881 0.000
Mg Hg Rh
4 1 1
Direct
0.124 0.124 0.124 Mg
0.124 0.124 0.627 Mg
0.124 0.627 0.124 Mg
0.627 0.124 0.124 Mg
0.500 0.500 0.500 Hg
0.750 0.750 0.750 Rh
```

Computed properties:
distance to the lowest polymorph of the same formula: 0.409 eV per atom
uncorrected energy: -2.2155 eV per atom
formation enthalpy at 0 K: 0.12 eV/atom


The following is a PBE-GGA calculation of a geometry-optimized Sc2Se2I structure, from Alexandria.

Cell and atoms, written as POSCAR:
```
Sc2Se2I
1.0
7.881 0.000 0.000
0.000 7.881 0.000
0.000 0.000 3.620
Sc Se I
4 4 2
Direct
0.143 0.357 0.000 Sc
0.357 0.857 0.000 Sc
0.643 0.143 0.000 Sc
0.857 0.643 0.000 Sc
0.138 0.638 0.500 Se
0.362 0.138 0.500 Se
0.638 0.862 0.500 Se
0.862 0.362 0.500 Se
0.000 0.000 0.000 I
0.500 0.500 0.000 I
```

Computed properties:
formation energy without anion corrections: -125.6 kJ per mole of atoms
distance to the lowest polymorph of the same formula: 0.210 eV per atom
uncorrected energy: -5.5384 eV per atom


The following is a PBE-GGA calculation of a geometry-optimized La5Tb2Tl structure, from Alexandria.

Cell and atoms, written as POSCAR:
```
La5Tb2Tl
1.0
-1.766 5.730 6.614
1.766 -5.730 6.614
1.766 5.730 -6.614
La Tb Tl
5 2 1
Direct
0.000 0.000 0.000 La
0.112 0.374 0.738 La
0.363 0.626 0.738 La
0.637 0.374 0.262 La
0.888 0.626 0.262 La
0.269 0.269 0.000 Tb
0.731 0.731 0.000 Tb
0.500 0.000 0.500 Tl
```

Computed properties:
uncorrected energy: -4.5514 eV per atom
formation enthalpy at 0 K: -0.02 eV/atom


The following is a PBE-GGA calculation of a geometry-optimized Y2ScRu structure, from Alexandria.

Cell and atoms, written as POSCAR:
```
Y2ScRu
1.0
1.717 0.991 9.819
-1.717 0.991 9.819
0.000 -1.982 9.819
Y Sc Ru
2 1 1
Direct
0.000 0.000 0.000 Y
0.228 0.228 0.228 Y
0.766 0.766 0.766 Sc
0.493 0.493 0.493 Ru
```

Computed properties:
distance to the lowest polymorph of the same formula: 0.302 eV per atom
uncorrected energy: -7.1567 eV per atom
formation enthalpy at 0 K: -0.02 eV/atom


The following is a PBE-GGA calculation of a geometry-optimized Cs4Er3TiTe8 structure, from Alexandria.

Cell and atoms, written as POSCAR:
```
Cs4Er3TiTe8
1.0
4.459 2.574 8.875
-4.459 2.574 8.875
0.000 -5.149 8.875
Cs Er Ti Te
4 3 1 8
Direct
0.000 0.000 0.000 Cs
0.000 0.500 0.500 Cs
0.500 0.000 0.500 Cs
0.500 0.500 0.000 Cs
0.000 0.000 0.500 Er
0.000 0.500 0.000 Er
0.500 0.000 0.000 Er
0.500 0.500 0.500 Ti
0.230 0.230 0.230 Te
0.243 0.720 0.720 Te
0.280 0.280 0.757 Te
0.280 0.757 0.280 Te
0.720 0.243 0.720 Te
0.720 0.720 0.243 Te
0.757 0.280 0.280 Te
0.770 0.770 0.770 Te
```

Computed properties:
formation energy without anion corrections: -116.4 kJ per mole of atoms
uncorrected energy: -4.3396 eV per atom


Among the records above, which one has the lowest uncorrected energy?
Y2ScRu


Please write out number 2 again, unchanged.
The following is a PBE-GGA calculation of a geometry-optimized CaAc3Sn structure, from Alexandria.

Cell and atoms, written as POSCAR:
```
CaAc3Sn
1.0
11.047 0.000 0.000
0.000 6.593 0.000
-6.428 0.000 11.220
Ca Ac Sn
4 12 4
Direct
0.158 0.002 0.144 Ca
0.158 0.498 0.644 Ca
0.842 0.502 0.356 Ca
0.842 0.998 0.856 Ca
0.154 0.522 0.309 Ac
0.154 0.978 0.809 Ac
0.203 0.017 0.495 Ac
0.203 0.483 0.995 Ac
0.498 0.637 0.654 Ac
0.498 0.863 0.154 Ac
0.502 0.137 0.846 Ac
0.502 0.363 0.346 Ac
0.797 0.517 0.005 Ac
0.797 0.983 0.505 Ac
0.846 0.022 0.191 Ac
0.846 0.478 0.691 Ac
0.438 0.642 0.890 Sn
0.438 0.858 0.390 Sn
0.562 0.142 0.610 Sn
0.562 0.358 0.110 Sn
```

Computed properties:
uncorrected energy: -3.8920 eV per atom
formation enthalpy at 0 K: -0.23 eV/atom


Which of these has the highest uncorrected energy?
Mg4HgRh